20
Lattice="-7.359 -1.383 0.532 1.437 -6.003 4.272 -0.414 4.900 7.024" Properties=species:S:1:pos:R:3 comment="PBE Pm2HgGe2, optimized geometry" total_energy_ev_per_atom=-4.52 pbc="T T T"
Ge -4.491 -0.350 2.596
Ge -0.436 -1.224 3.445
Ge -5.693 -3.712 4.871
Ge -1.638 -4.587 5.720
Ge -4.698 2.100 6.108
Ge -0.643 1.225 6.957
Ge -5.899 -1.262 8.383
Ge -1.845 -2.137 9.232
Hg -3.064 -2.470 4.155
Hg -0.104 1.227 1.758
Hg -0.310 3.673 5.265
Hg -3.272 -0.017 7.672
Pm -2.101 -1.521 0.937
Pm -5.578 -3.059 1.805
Pm -0.344 -4.327 2.998
Pm -3.822 -5.866 3.867
Pm -2.308 0.929 4.449
Pm -5.784 -0.609 5.317
Pm -0.551 -1.877 6.510
Pm -4.028 -3.416 7.378